Ti2SbH | SCAN | single point on PBEsol structure

a b c (Å): 5.1116 5.1116 9.4218
angles (deg): 90.00 90.00 90.00
Last column: nearest neighbours and their distance in Å.
Space group I4_1/amd (No. 141, origin choice 2)
Symmetry-distinct sites (fractional):
Ti 0.0000 0.0000 0.0000  2 H 1.74
Sb 0.0000 0.2500 0.3750  8 Ti 3.09
H 0.0000 0.2500 0.8750  4 Ti 1.74

Properties
D(E_F): 11.9 states/eV/cell
M_tot: 0.000 μB/atom
total energy: -293.7 eV/cell

***

SbH3W | SCAN | single point on PBEsol structure

a b c (Å): 3.6625 3.6625 3.6625
angles (deg): 90.00 90.00 90.00
Last column: nearest neighbours and their distance in Å.
Space group Pm-3m (No. 221)
Symmetry-distinct sites (fractional):
Sb 0.0000 0.0000 0.0000  12 H 2.59
H 0.0000 0.5000 0.5000  2 W 1.83
W 0.5000 0.5000 0.5000  6 H 1.83

Properties
D(E_F): 2.3 states/eV/cell
M_tot: 0.039 μB/atom
total energy: -113.7 eV/cell

***

SbHW3 | SCAN | single point on PBEsol structure

a b c (Å): 4.8692 4.8692 4.8692
angles (deg): 90.00 90.00 90.00
Last column: nearest neighbours and their distance in Å.
Space group Pm-3m (No. 221)
Symmetry-distinct sites (fractional):
Sb 0.0000 0.0000 0.0000  6 W 2.43
H 0.5000 0.5000 0.5000  12 W 3.44
W 0.0000 0.0000 0.5000  2 Sb 2.43

Properties
D(E_F): 7.7 states/eV/cell
M_tot: 0.000 μB/atom
total energy: -231.4 eV/cell

***

Y2SbH | SCAN | single point on PBEsol structure

a b c (Å): 7.0518 7.0518 7.0518
angles (deg): 90.00 90.00 90.00
Last column: nearest neighbours and their distance in Å.
Space group Fm-3m (No. 225)
Symmetry-distinct sites (fractional):
Y 0.2500 0.2500 0.2500  4 H 3.05, 4 Sb 3.05
Sb 0.0000 0.0000 0.0000  8 Y 3.05
H 0.0000 0.0000 0.5000  8 Y 3.05

Properties
D(E_F): 6.1 states/eV/cell
M_tot: 0.446 μB/atom
total energy: -393.3 eV/cell